(1)
A plane-wave DFT calculation with PBE-GGA was carried out for an optimized crystal structure of Tl2BrF.

Cell: 4.2652 4.2652 7.8780 Å, 74.29 74.29 60.00°
Fractional positions:
F (0.6676, 0.6676, 0.9971)
Tl (0.2656, 0.2656, 0.2033)
Br (0.4997, 0.4997, 0.5010)
Tl (0.0671, 0.0671, 0.7987)

D(E_F): 0.00 states/eV per cell
crystal system: trigonal
offset from the most stable computed form: 0.029 eV/atom
E: -13.30 eV per cell



(2)
A plane-wave DFT calculation with PBE-GGA was carried out for an optimized crystal structure of Cs4Ac3PmSe8.

Cell: 9.1506 9.9475 9.1519 Å, 117.40 120.00 90.00°
Fractional positions:
Se (0.7747, 0.3070, 0.5494)
Cs (0.0000, 0.0000, 0.0000)
Se (0.2672, 0.3017, 0.5344)
Pm (0.0000, 0.5000, 0.0000)
Se (0.7328, 0.6983, 0.4656)
Cs (0.5000, 0.0000, 0.0000)
Cs (0.5000, 0.0000, 0.5000)
Se (0.2253, 0.6929, 0.9678)
Ac (0.5000, 0.5000, 0.5000)
Ac (0.5000, 0.5000, 0.0000)
Se (0.2253, 0.6930, 0.4506)
Se (0.7425, 0.6929, 0.9678)
Cs (0.0000, 0.0000, 0.5000)
Se (0.7747, 0.3071, 0.0322)
Se (0.2575, 0.3071, 0.0322)
Ac (0.0000, 0.5000, 0.5000)

D(E_F): 0.00 states/eV per cell
crystal system: trigonal
E: -76.88 eV per cell



How do the records compare in formation energy (no corrections)? In the order shown, they have -1.25; -1.78 eV per atom.